(1)
PBE Sr3Zr2PaN6, relaxed; formation energy from raw total energies = -16.2 eV/f.u.; final energy = -97.75 eV/cell
1.0
5.996 0.000 0.001
-2.997 5.194 0.001
-0.999 -1.730 5.969
Zr N Sr Pa
2 6 3 1
direct
0.334 0.666 0.000 Zr
0.666 0.334 0.000 Zr
0.401 0.066 0.199 N
0.066 0.401 0.199 N
0.599 0.934 0.801 N
0.268 0.268 0.801 N
0.934 0.599 0.801 N
0.732 0.732 0.199 N
0.830 0.170 0.500 Sr
0.170 0.830 0.500 Sr
0.500 0.500 0.500 Sr
0.000 0.000 0.000 Pa

---

(2)
PBE Sr2ZrPaN4, relaxed; formation energy from raw total energies = -10.8 eV/f.u.; final energy = -65.49 eV/cell
1.0
-1.703 1.351 -2.773
4.247 -2.181 -3.671
-4.500 -4.360 0.638
Pa N Zr Sr
1 4 1 2
direct
0.500 0.500 0.000 Pa
0.000 0.264 0.803 N
0.500 0.766 0.802 N
0.000 0.736 0.197 N
0.500 0.234 0.198 N
0.000 0.000 0.000 Zr
0.000 0.500 0.500 Sr
0.500 0.000 0.500 Sr

---

(3)
PBE Sr3ZrPa2N6, relaxed; formation energy from raw total energies = -16.3 eV/f.u.; final energy = -98.83 eV/cell
1.0
-1.147 -0.380 6.009
-1.218 -4.762 -3.660
6.302 -0.407 0.138
N Sr Pa Zr
6 3 2 1
direct
0.732 0.732 0.197 N
0.065 0.399 0.196 N
0.268 0.268 0.803 N
0.601 0.935 0.804 N
0.935 0.601 0.804 N
0.399 0.065 0.196 N
0.163 0.837 0.500 Sr
0.837 0.163 0.500 Sr
0.500 0.500 0.500 Sr
0.667 0.333 0.000 Pa
0.333 0.667 0.000 Pa
0.000 0.000 0.000 Zr

---

(4)
PBE SrZr3Pa2N6, relaxed; formation energy from raw total energies = -18.3 eV/f.u.; final energy = -114.58 eV/cell
1.0
3.370 0.000 0.000
0.000 6.892 0.210
-1.685 -2.026 7.150
Zr N Pa Sr
3 6 2 1
direct
0.166 0.830 0.332 Zr
0.834 0.170 0.668 Zr
0.500 0.500 0.000 Zr
0.997 0.721 0.993 N
0.339 0.405 0.677 N
0.675 0.083 0.351 N
0.003 0.279 0.007 N
0.325 0.917 0.649 N
0.661 0.595 0.323 N
0.167 0.335 0.334 Pa
0.833 0.665 0.666 Pa
0.500 0.000 0.000 Sr

---

(5)
PBE Pa3TaN7, relaxed; formation energy from raw total energies = -15.6 eV/f.u.; final energy = -228.44 eV/cell
1.0
6.496 0.054 0.000
-2.199 6.112 0.000
0.000 0.000 7.555
N Pa Ta
14 6 2
direct
0.092 0.342 0.973 N
0.625 0.375 0.750 N
0.375 0.625 0.250 N
0.908 0.658 0.473 N
0.342 0.092 0.473 N
0.365 0.635 0.750 N
0.092 0.342 0.527 N
0.635 0.365 0.250 N
0.908 0.658 0.027 N
0.919 0.081 0.250 N
0.342 0.092 0.027 N
0.081 0.919 0.750 N
0.658 0.908 0.527 N
0.658 0.908 0.973 N
0.500 0.500 0.000 Pa
0.500 0.500 0.500 Pa
0.998 0.468 0.250 Pa
0.002 0.532 0.750 Pa
0.468 0.998 0.750 Pa
0.532 0.002 0.250 Pa
0.000 0.000 0.000 Ta
0.000 0.000 0.500 Ta

---

(6)
PBE Pa5Ta2N12, relaxed; formation energy from raw total energies = -27.3 eV/f.u.; final energy = -198.41 eV/cell
1.0
6.029 0.000 0.000
-3.014 5.966 -1.830
0.000 0.024 7.387
Pa N Ta
5 12 2
direct
0.308 0.616 0.160 Pa
0.309 0.618 0.647 Pa
0.692 0.384 0.840 Pa
0.000 0.000 0.500 Pa
0.691 0.382 0.353 Pa
0.897 0.345 0.091 N
0.497 0.994 0.196 N
0.103 0.655 0.909 N
0.401 0.310 0.573 N
0.553 0.655 0.909 N
0.599 0.690 0.427 N
0.503 0.006 0.804 N
0.997 0.995 0.193 N
0.447 0.345 0.091 N
0.003 0.005 0.807 N
0.091 0.690 0.427 N
0.909 0.310 0.573 N
0.761 0.000 0.000 Ta
0.239 0.000 0.000 Ta

---

(7)
PBE Pa6TaN12, relaxed; formation energy from raw total energies = -30.0 eV/f.u.; final energy = -198.70 eV/cell
1.0
6.513 -0.331 -0.715
-0.760 6.477 -0.715
-0.310 -0.331 6.544
Pa N Ta
6 12 1
direct
0.864 0.708 0.399 Pa
0.708 0.399 0.864 Pa
0.601 0.136 0.292 Pa
0.399 0.864 0.708 Pa
0.292 0.601 0.136 Pa
0.136 0.292 0.601 Pa
0.175 0.595 0.436 N
0.067 0.311 0.944 N
0.825 0.405 0.564 N
0.405 0.564 0.825 N
0.944 0.067 0.311 N
0.436 0.175 0.595 N
0.056 0.933 0.689 N
0.564 0.825 0.405 N
0.933 0.689 0.056 N
0.689 0.056 0.933 N
0.311 0.944 0.067 N
0.595 0.436 0.175 N
0.000 0.000 0.000 Ta

---

(8)
PBE Pa3Ta5N12, relaxed; formation energy from raw total energies = -25.0 eV/f.u.; final energy = -850.46 eV/cell
1.0
11.165 0.000 0.000
-3.722 10.527 0.000
-3.722 -5.263 9.116
N Pa Ta
48 12 20
direct
0.033 0.626 0.710 N
0.085 0.907 0.374 N
0.907 0.085 0.874 N
0.415 0.290 0.322 N
0.915 0.822 0.790 N
0.967 0.593 0.178 N
0.907 0.822 0.533 N
0.626 0.593 0.915 N
0.126 0.710 0.533 N
0.126 0.415 0.093 N
0.790 0.467 0.374 N
0.093 0.915 0.126 N
0.710 0.585 0.178 N
0.585 0.874 0.407 N
0.467 0.678 0.093 N
0.322 0.533 0.407 N
0.290 0.874 0.967 N
0.210 0.533 0.626 N
0.874 0.585 0.907 N
0.407 0.374 0.585 N
0.822 0.915 0.290 N
0.374 0.967 0.790 N
0.374 0.407 0.085 N
0.322 0.790 0.415 N
0.093 0.178 0.467 N
0.085 0.178 0.210 N
0.915 0.093 0.626 N
0.874 0.290 0.467 N
0.407 0.033 0.322 N
0.593 0.967 0.678 N
0.467 0.790 0.874 N
0.585 0.710 0.678 N
0.290 0.415 0.822 N
0.033 0.407 0.822 N
0.626 0.033 0.210 N
0.678 0.467 0.593 N
0.178 0.085 0.710 N
0.178 0.093 0.967 N
0.678 0.210 0.585 N
0.967 0.374 0.290 N
0.415 0.126 0.593 N
0.790 0.322 0.915 N
0.710 0.126 0.033 N
0.822 0.907 0.033 N
0.593 0.626 0.415 N
0.533 0.322 0.907 N
0.533 0.210 0.126 N
0.210 0.678 0.085 N
0.875 0.125 0.250 Pa
0.375 0.625 0.250 Pa
0.750 0.375 0.125 Pa
0.750 0.875 0.625 Pa
0.625 0.250 0.375 Pa
0.375 0.750 0.625 Pa
0.125 0.875 0.750 Pa
0.125 0.250 0.875 Pa
0.250 0.125 0.375 Pa
0.625 0.375 0.750 Pa
0.875 0.750 0.125 Pa
0.250 0.625 0.875 Pa
0.625 0.875 0.250 Ta
0.000 0.500 0.000 Ta
0.750 0.125 0.875 Ta
0.500 0.500 0.500 Ta
0.250 0.375 0.625 Ta
0.500 0.500 0.000 Ta
0.625 0.750 0.875 Ta
0.000 0.000 0.000 Ta
0.875 0.625 0.750 Ta
0.000 0.000 0.500 Ta
0.125 0.750 0.375 Ta
0.375 0.250 0.125 Ta
0.250 0.875 0.125 Ta
0.125 0.375 0.250 Ta
0.750 0.625 0.375 Ta
0.500 0.000 0.500 Ta
0.500 0.000 0.000 Ta
0.000 0.500 0.500 Ta
0.875 0.250 0.625 Ta
0.375 0.125 0.750 Ta

---

(9)
PBE Pa3TaN6, relaxed; formation energy from raw total energies = -15.6 eV/f.u.; final energy = -211.83 eV/cell
1.0
-4.636 1.496 2.672
-3.971 -3.076 -5.166
0.768 -5.601 4.467
N Pa Ta
12 6 2
direct
0.166 0.100 0.599 N
0.199 0.359 0.337 N
0.199 0.663 0.641 N
0.166 0.401 0.900 N
0.666 0.900 0.401 N
0.699 0.641 0.663 N
0.143 0.780 0.220 N
0.256 0.018 0.982 N
0.699 0.337 0.359 N
0.643 0.220 0.780 N
0.756 0.982 0.018 N
0.666 0.599 0.100 N
0.472 0.909 0.688 Pa
0.922 0.609 0.391 Pa
0.972 0.091 0.312 Pa
0.472 0.312 0.091 Pa
0.972 0.688 0.909 Pa
0.422 0.391 0.609 Pa
0.991 0.154 0.846 Ta
0.491 0.846 0.154 Ta

---

(10)
PBE PaTa2N5, relaxed; formation energy from raw total energies = -9.6 eV/f.u.; final energy = -168.79 eV/cell
1.0
3.587 0.000 0.000
0.000 5.097 0.000
0.000 0.000 12.308
N Pa Ta
10 2 4
direct
0.000 0.427 0.672 N
0.500 0.956 0.393 N
0.500 0.573 0.172 N
0.500 0.956 0.607 N
0.000 0.562 0.000 N
0.500 0.438 0.500 N
0.000 0.044 0.893 N
0.000 0.427 0.328 N
0.500 0.573 0.828 N
0.000 0.044 0.107 N
0.000 0.140 0.500 Pa
0.500 0.860 0.000 Pa
0.000 0.397 0.847 Ta
0.500 0.603 0.653 Ta
0.000 0.397 0.153 Ta
0.500 0.603 0.347 Ta

---

(11)
PBE PaTaN2, relaxed; formation energy from raw total energies = -5.8 eV/f.u.; final energy = -175.12 eV/cell
1.0
-0.425 0.883 -3.147
-5.012 -2.720 -0.086
-5.087 9.271 3.288
Pa N Ta
4 8 4
direct
0.250 0.424 0.644 Pa
0.750 0.076 0.144 Pa
0.250 0.924 0.856 Pa
0.750 0.576 0.356 Pa
0.750 0.758 0.005 N
0.250 0.336 0.254 N
0.250 0.742 0.505 N
0.250 0.242 0.995 N
0.750 0.664 0.746 N
0.750 0.258 0.495 N
0.750 0.164 0.754 N
0.250 0.836 0.246 N
0.250 0.574 0.100 Ta
0.750 0.426 0.900 Ta
0.250 0.074 0.400 Ta
0.750 0.926 0.600 Ta

---

(12)
PBE Tb2PaTaN4, relaxed; formation energy from raw total energies = -11.9 eV/f.u.; final energy = -75.82 eV/cell
1.0
3.377 0.000 0.000
0.000 5.844 0.122
0.000 -2.022 5.537
N Pa Ta Tb
4 1 1 2
direct
0.000 0.758 0.229 N
0.500 0.771 0.781 N
0.000 0.242 0.771 N
0.500 0.229 0.219 N
0.500 0.500 0.000 Pa
0.000 0.000 0.000 Ta
0.000 0.500 0.500 Tb
0.500 0.000 0.500 Tb